## 1
A geometry-optimized MgPb2F structure, computed with PBE.

Geometry as POSCAR:
```
MgPb2F
1.0
0.0000 3.5812 3.5812
3.5812 0.0000 3.5812
3.5812 3.5812 0.0000
Mg Pb F
1 2 1
direct
0.0000 0.0000 0.0000 Mg
0.2500 0.2500 0.2500 Pb
0.7500 0.7500 0.7500 Pb
0.5000 0.5000 0.5000 F
```

Output
SG: No. 225
size of the total moment: 0.000 μB/atom
density: 8.27 g cm⁻³

## 2
A geometry-optimized MgPb2F structure, computed with PBE.

Geometry as POSCAR:
```
MgPb2F
1.0
-2.6934 2.6934 8.1276
2.6934 -2.6934 8.1276
2.6934 2.6934 -8.1276
Mg Pb F
2 4 2
direct
0.0000 0.0000 0.0000 Mg
0.7500 0.2500 0.5000 Mg
0.2208 0.6250 0.0958 Pb
0.3750 0.4708 0.5958 Pb
0.5292 0.1250 0.9042 Pb
0.8750 0.7792 0.4042 Pb
0.2500 0.7500 0.5000 F
0.5000 0.5000 0.0000 F
```

Output
SG: No. 122
size of the total moment: 0.000 μB/atom
density: 6.45 g cm⁻³

The least stable of them is 2.

## 1
A geometry-optimized MgPb2F6 structure, computed with PBE.

Geometry as POSCAR:
```
MgPb2F6
1.0
5.7375 0.0000 0.0000
0.0000 5.7375 0.0000
0.0000 0.0000 8.2670
Mg Pb F
2 4 12
direct
0.0000 0.0000 0.0000 Mg
0.5000 0.5000 0.5000 Mg
0.0000 0.5000 0.2500 Pb
0.0000 0.5000 0.7500 Pb
0.5000 0.0000 0.2500 Pb
0.5000 0.0000 0.7500 Pb
0.0000 0.0000 0.2388 F
0.0000 0.0000 0.7612 F
0.1609 0.3045 0.0000 F
0.1955 0.3391 0.5000 F
0.3045 0.8391 0.0000 F
0.3391 0.8045 0.5000 F
0.5000 0.5000 0.2612 F
0.5000 0.5000 0.7388 F
0.6609 0.1955 0.5000 F
0.6955 0.1609 0.0000 F
0.8045 0.6609 0.5000 F
0.8391 0.6955 0.0000 F
```

Output
SG: No. 128
size of the total moment: 0.000 μB/atom
density: 6.74 g cm⁻³

## 2
A geometry-optimized MgPb2F6 structure, computed with PBE.

Geometry as POSCAR:
```
MgPb2F6
1.0
5.6920 0.0000 0.0000
0.0000 6.5739 0.0000
-5.0268 0.0000 7.9687
Mg Pb F
2 4 12
direct
0.0000 0.0000 0.0000 Mg
0.0000 0.5000 0.5000 Mg
0.2774 0.0807 0.7491 Pb
0.2774 0.4193 0.2491 Pb
0.7226 0.5807 0.7509 Pb
0.7226 0.9193 0.2509 Pb
0.0925 0.0644 0.2312 F
0.0925 0.4356 0.7312 F
0.2125 0.7343 0.0796 F
0.2125 0.7657 0.5796 F
0.3442 0.1388 0.0405 F
0.3442 0.3612 0.5405 F
0.6558 0.6388 0.4595 F
0.6558 0.8612 0.9595 F
0.7875 0.2343 0.4204 F
0.7875 0.2657 0.9204 F
0.9075 0.5644 0.2688 F
0.9075 0.9356 0.7688 F
```

Output
SG: No. 14
size of the total moment: 0.000 μB/atom
density: 6.16 g cm⁻³

The least stable of them is 1.

## 1
A geometry-optimized MgPdF4 structure, computed with PBE.

Geometry as POSCAR:
```
MgPdF4
1.0
-3.1860 3.1860 2.3907
3.1860 -3.1860 2.3907
3.1860 3.1860 -2.3907
Mg Pd F
1 1 4
direct
0.0000 0.0000 0.0000 Mg
0.2500 0.7500 0.5000 Pd
0.1280 0.4508 0.0930 F
0.3577 0.0350 0.9070 F
0.5492 0.6423 0.6773 F
0.9650 0.8720 0.3227 F
```

Output
SG: No. 82
size of the total moment: 0.016 μB/atom
density: 3.54 g cm⁻³

## 2
A geometry-optimized MgPdF4 structure, computed with PBE.

Geometry as POSCAR:
```
MgPdF4
1.0
3.4650 -3.5029 0.0000
3.4650 3.5029 0.0000
0.0000 0.0000 3.2306
Mg Pd F
1 1 4
direct
0.0000 0.0000 0.0000 Mg
0.5000 0.5000 0.5000 Pd
0.1821 0.1821 0.5000 F
0.2862 0.7138 0.0000 F
0.7138 0.2862 0.0000 F
0.8179 0.8179 0.5000 F
```

Output
SG: No. 65
size of the total moment: 0.333 μB/atom
density: 4.38 g cm⁻³

The least stable of them is 1.

## 1
A geometry-optimized Mg3PdF structure, computed with PBE.

Geometry as POSCAR:
```
Mg3PdF
1.0
4.3130 0.0000 0.0000
0.0000 4.3130 0.0000
0.0000 0.0000 4.3130
Mg Pd F
3 1 1
direct
0.0000 0.0000 0.5000 Mg
0.0000 0.5000 0.0000 Mg
0.5000 0.0000 0.0000 Mg
0.5000 0.5000 0.5000 Pd
0.0000 0.0000 0.0000 F
```

Output
SG: No. 221
size of the total moment: 0.000 μB/atom
density: 4.10 g cm⁻³

## 2
A geometry-optimized Mg3PdF structure, computed with PBE.

Geometry as POSCAR:
```
Mg3PdF
1.0
4.9842 0.0000 0.0000
0.0000 4.9842 0.0000
0.0000 0.0000 4.9842
Mg Pd F
3 1 1
direct
0.0000 0.0000 0.5000 Mg
0.0000 0.5000 0.0000 Mg
0.5000 0.0000 0.0000 Mg
0.0000 0.0000 0.0000 Pd
0.5000 0.5000 0.5000 F
```

Output
SG: No. 221
size of the total moment: 0.000 μB/atom
density: 2.66 g cm⁻³

The least stable of them is 2.

## 1
A geometry-optimized Mg2PdF structure, computed with PBE.

Geometry as POSCAR:
```
Mg2PdF
1.0
0.0000 3.1868 3.1868
3.1868 0.0000 3.1868
3.1868 3.1868 0.0000
Mg Pd F
2 1 1
direct
0.2500 0.2500 0.2500 Mg
0.7500 0.7500 0.7500 Mg
0.0000 0.0000 0.0000 Pd
0.5000 0.5000 0.5000 F
```

Output
SG: No. 225
size of the total moment: 0.000 μB/atom
density: 4.46 g cm⁻³

## 2
A geometry-optimized Mg2PdF structure, computed with PBE.

Geometry as POSCAR:
```
Mg2PdF
1.0
-3.1287 3.1287 3.2737
3.1287 -3.1287 3.2737
3.1287 3.1287 -3.2737
Mg Pd F
4 2 2
direct
0.0564 0.6250 0.9314 Mg
0.3750 0.3064 0.4314 Mg
0.6936 0.1250 0.0686 Mg
0.8750 0.9436 0.5686 Mg
0.2500 0.7500 0.5000 Pd
0.5000 0.5000 0.0000 Pd
0.0000 0.0000 0.0000 F
0.7500 0.2500 0.5000 F
```

Output
SG: No. 122
size of the total moment: 0.000 μB/atom
density: 4.51 g cm⁻³

The least stable of them is 1.

## 1
A geometry-optimized MgPd2F structure, computed with PBE.

Geometry as POSCAR:
```
MgPd2F
1.0
0.0000 3.0905 3.0905
3.0905 0.0000 3.0905
3.0905 3.0905 0.0000
Mg Pd F
1 2 1
direct
0.0000 0.0000 0.0000 Mg
0.2500 0.2500 0.2500 Pd
0.7500 0.7500 0.7500 Pd
0.5000 0.5000 0.5000 F
```

Output
SG: No. 225
size of the total moment: 0.000 μB/atom
density: 7.20 g cm⁻³

## 2
A geometry-optimized MgPd2F structure, computed with PBE.

Geometry as POSCAR:
```
MgPd2F
1.0
-3.5416 3.5416 2.5299
3.5416 -3.5416 2.5299
3.5416 3.5416 -2.5299
Mg Pd F
2 4 2
direct
0.0000 0.0000 0.0000 Mg
0.7500 0.2500 0.5000 Mg
0.1739 0.6250 0.0489 Pd
0.3750 0.4239 0.5489 Pd
0.5761 0.1250 0.9511 Pd
0.8750 0.8261 0.4511 Pd
0.2500 0.7500 0.5000 F
0.5000 0.5000 0.0000 F
```

Output
SG: No. 122
size of the total moment: 0.000 μB/atom
density: 6.70 g cm⁻³

The least stable of them is 1.